(1)
# CdMo2As

Crystalline CdMo2As at its relaxed geometry (PBE, Alexandria).

The space group is Pmmm (No. 47) and the conventional cell measures 3.284, 4.523 and 4.623 Å, with angles of 90.00, 90.00 and 90.00 degrees. The asymmetric unit holds Cd at (0.000, 0.000, 0.000), Mo at (0.000, 0.500, 0.500), Mo at (0.500, 0.500, 0.000) and As at (0.500, 0.000, 0.500).

The polymorph energy (0 for the lowest one) is 379 meV/atom. The energy of formation is 0.52 eV per atom. For the theoretical density, the calculation gives 9.2 g cm⁻³.

(2)
# ScCu2Ir

Crystalline ScCu2Ir at its relaxed geometry (PBE, Alexandria).

The space group is I-4m2 (No. 119) and the conventional cell measures 3.912, 3.912 and 7.658 Å, with angles of 90.00, 90.00 and 90.00 degrees. The asymmetric unit holds Sc at (0.000, 0.000, 0.000), Cu at (0.000, 0.000, 0.500), Cu at (0.000, 0.500, 0.250) and Ir at (0.000, 0.500, 0.750).

The polymorph energy (0 for the lowest one) is 47 meV/atom. The energy of formation is -0.36 eV per atom. For the theoretical density, the calculation gives 10.3 g cm⁻³.